No. 1
# SbAs2PW

A geometry-optimized SbAs2PW structure (PBE, the Alexandria database).

Output
**Crystal system**: tetragonal
**Space group**: No. 123
**Theoretical density**: 6.541 g cm⁻³
**DFT total energy**: -21.7 eV for the cell shown

The structure in POSCAR format:
```
SbAs2PW
1.0
5.0518 0.0000 0.0000
0.0000 5.0518 0.0000
0.0000 0.0000 4.8390
Sb As P W
1 2 1 1
Direct
0.0000 0.0000 0.0000 Sb
0.0000 0.5000 0.0000 As
0.5000 0.0000 0.0000 As
0.0000 0.0000 0.5000 P
0.5000 0.5000 0.5000 W
```

***

No. 2
# Re2RuWCl

A geometry-optimized Re2RuWCl structure (PBE, the Alexandria database).

Output
**Crystal system**: tetragonal
**Space group**: No. 123
**Theoretical density**: 11.016 g cm⁻³
**DFT total energy**: -37.4 eV for the cell shown

The structure in POSCAR format:
```
Re2RuWCl
1.0
4.8129 0.0000 0.0000
0.0000 4.8129 0.0000
0.0000 0.0000 4.5082
Re Ru W Cl
2 1 1 1
Direct
0.0000 0.5000 0.0000 Re
0.5000 0.0000 0.0000 Re
0.0000 0.0000 0.5000 Ru
0.5000 0.5000 0.0000 W
0.5000 0.5000 0.5000 Cl
```

***

No. 3
# SiAgPt2

A geometry-optimized SiAgPt2 structure (PBE, the Alexandria database).

Output
**Crystal system**: tetragonal
**Space group**: No. 99
**Theoretical density**: 13.752 g cm⁻³
**DFT total energy**: -20.7 eV for the cell shown

The structure in POSCAR format:
```
SiAgPt2
1.0
3.0435 0.0000 0.0000
0.0000 3.0435 0.0000
0.0000 0.0000 6.8584
Si Ag Pt
1 1 2
Direct
0.0000 0.0000 0.0000 Si
0.5000 0.5000 0.2665 Ag
0.0000 0.0000 0.5425 Pt
0.5000 0.5000 0.8203 Pt
```

***

No. 4
# Ca2FeCl

A geometry-optimized Ca2FeCl structure (PBE, the Alexandria database).

Output
**Crystal system**: trigonal
**Distance to the lowest polymorph of the same formula**: 49 meV per atom
**Space group**: No. 166
**Theoretical density**: 2.859 g cm⁻³

The structure in POSCAR format:
```
Ca2FeCl
1.0
1.8637 1.0760 8.2767
-1.8637 1.0760 8.2767
0.0000 -2.1520 8.2767
Ca Fe Cl
2 1 1
Direct
0.2479 0.2479 0.2479 Ca
0.7521 0.7521 0.7521 Ca
0.5000 0.5000 0.5000 Fe
0.0000 0.0000 0.0000 Cl
```

***

No. 5
# La2NdPb

A geometry-optimized La2NdPb structure (PBE, the Alexandria database).

Output
**Crystal system**: tetragonal
**Distance to the lowest polymorph of the same formula**: 86 meV per atom
**DFT formation energy**: -28 kJ/mol of atoms
**Space group**: No. 123
**Theoretical density**: 7.706 g cm⁻³

The structure in POSCAR format:
```
La2NdPb
1.0
4.3804 0.0000 0.0000
0.0000 4.3804 0.0000
0.0000 0.0000 7.0667
La Nd Pb
2 1 1
Direct
0.0000 0.0000 0.2248 La
0.0000 0.0000 0.7752 La
0.5000 0.5000 0.5000 Nd
0.5000 0.5000 0.0000 Pb
```

***

No. 6
# Ca2Zn3InAg12

A geometry-optimized Ca2Zn3InAg12 structure (PBE, the Alexandria database).

Output
**Crystal system**: trigonal
**DFT formation energy**: 19 kJ/mol of atoms
**Space group**: No. 166
**Theoretical density**: 6.604 g cm⁻³

The structure in POSCAR format:
```
Ca2Zn3InAg12
1.0
4.3213 2.4949 6.5523
-4.3213 2.4949 6.5523
0.0000 -4.9898 6.5523
Ca Zn In Ag
2 3 1 12
Direct
0.0994 0.0994 0.0994 Ca
0.9006 0.9006 0.9006 Ca
0.0000 0.5000 0.5000 Zn
0.5000 0.0000 0.5000 Zn
0.5000 0.5000 0.0000 Zn
0.5000 0.5000 0.5000 In
0.1021 0.6477 0.6477 Ag
0.1369 0.1369 0.6076 Ag
0.1369 0.6076 0.1369 Ag
0.3523 0.3523 0.8979 Ag
0.3523 0.8979 0.3523 Ag
0.3924 0.8631 0.8631 Ag
0.6076 0.1369 0.1369 Ag
0.6477 0.1021 0.6477 Ag
0.6477 0.6477 0.1021 Ag
0.8631 0.3924 0.8631 Ag
0.8631 0.8631 0.3924 Ag
0.8979 0.3523 0.3523 Ag
```

***

No. 7
# CsMgSb

A geometry-optimized CsMgSb structure (PBE, the Alexandria database).

Output
**Crystal system**: tetragonal
**Space group**: No. 107
**Theoretical density**: 3.856 g cm⁻³
**DFT total energy**: -7.2 eV for the cell shown

The structure in POSCAR format:
```
CsMgSb
1.0
-2.0935 2.0935 6.8534
2.0935 -2.0935 6.8534
2.0935 2.0935 -6.8534
Cs Mg Sb
1 1 1
Direct
0.0000 0.0000 0.0000 Cs
0.2548 0.2548 0.0000 Mg
0.7207 0.7207 0.0000 Sb
```

***

No. 8
# Zn2HgTe

A geometry-optimized Zn2HgTe structure (PBE, the Alexandria database).

Output
**Crystal system**: tetragonal
**Distance to the lowest polymorph of the same formula**: 244 meV per atom
**Space group**: No. 123
**Theoretical density**: 8.496 g cm⁻³

The structure in POSCAR format:
```
Zn2HgTe
1.0
3.2702 0.0000 0.0000
0.0000 3.2702 0.0000
0.0000 0.0000 8.3891
Zn Hg Te
2 1 1
Direct
0.0000 0.0000 0.2317 Zn
0.0000 0.0000 0.7683 Zn
0.5000 0.5000 0.0000 Hg
0.5000 0.5000 0.5000 Te
```

***

No. 9
# ICl4

A geometry-optimized ICl4 structure (PBE, the Alexandria database).

Output
**Crystal system**: cubic
**Distance to the lowest polymorph of the same formula**: 369 meV per atom
**Space group**: No. 221
**Theoretical density**: 2.931 g cm⁻³

The structure in POSCAR format:
```
ICl4
1.0
5.3397 0.0000 0.0000
0.0000 5.3397 0.0000
0.0000 0.0000 5.3397
I Cl
1 4
Direct
0.0000 0.0000 0.0000 I
0.0000 0.0000 0.5000 Cl
0.0000 0.5000 0.0000 Cl
0.5000 0.0000 0.0000 Cl
0.5000 0.5000 0.5000 Cl
```

***

No. 10
# NaSr3Ir

A geometry-optimized NaSr3Ir structure (PBE, the Alexandria database).

Output
**Crystal system**: triclinic
**Distance to the lowest polymorph of the same formula**: 7 meV per atom
**DFT formation energy**: -11 kJ/mol of atoms
**Space group**: No. 1
**Theoretical density**: 4.022 g cm⁻³

The structure in POSCAR format:
```
NaSr3Ir
1.0
6.3213 0.0000 0.0000
2.6246 6.8145 0.0000
1.8024 2.3288 9.1651
Na Sr Ir
2 6 2
Direct
0.0000 0.0000 0.0000 Na
0.1783 0.4659 0.0539 Na
0.0543 0.5607 0.4335 Sr
0.1237 0.9072 0.6201 Sr
0.4818 0.8797 0.2312 Sr
0.4833 0.2008 0.7273 Sr
0.6947 0.2670 0.3263 Sr
0.6961 0.5881 0.8226 Sr
0.5324 0.5859 0.5139 Ir
0.6456 0.8819 0.5399 Ir
```

***

No. 11
# RbZn2RuAu

A geometry-optimized RbZn2RuAu structure (PBE, the Alexandria database).

Output
**Crystal system**: tetragonal
**DFT formation energy**: 77 kJ/mol of atoms
**Space group**: No. 123
**Theoretical density**: 6.439 g cm⁻³

The structure in POSCAR format:
```
RbZn2RuAu
1.0
4.9010 0.0000 0.0000
0.0000 4.9010 0.0000
0.0000 0.0000 5.5219
Rb Zn Ru Au
1 2 1 1
Direct
0.0000 0.0000 0.0000 Rb
0.0000 0.5000 0.5000 Zn
0.5000 0.0000 0.5000 Zn
0.0000 0.0000 0.5000 Ru
0.5000 0.5000 0.0000 Au
```

***

No. 12
# Zr2TaPbO8

A geometry-optimized Zr2TaPbO8 structure (PBE, the Alexandria database).

Output
**Crystal system**: orthorhombic
**Space group**: No. 65
**Theoretical density**: 7.056 g cm⁻³
**DFT total energy**: -104.0 eV for the cell shown

The structure in POSCAR format:
```
Zr2TaPbO8
1.0
3.4969 -3.4997 0.0000
3.4969 3.4997 0.0000
0.0000 0.0000 6.7172
Zr Ta Pb O
2 1 1 8
Direct
0.0000 0.0000 0.2447 Zr
0.0000 0.0000 0.7553 Zr
0.5000 0.5000 0.0000 Ta
0.5000 0.5000 0.5000 Pb
0.1769 0.8231 0.5000 O
0.2054 0.7946 0.0000 O
0.3020 0.3020 0.2135 O
0.3020 0.3020 0.7865 O
0.6980 0.6980 0.2135 O
0.6980 0.6980 0.7865 O
0.7946 0.2054 0.0000 O
0.8231 0.1769 0.5000 O
```